The following is a meta-GGA SCAN calculation of a crystal of BaCa2Be relaxed with PBEsol, from Alexandria via LeMat-Bulk.

abc: 5.6982 5.6982 5.6982
angles: 90.23 119.87 119.87
Last column: nearest neighbours and their distance in Å.
Positions (direct):
Be 0.5000 0.2500 0.7500  4 Ca 3.49, 4 Ba 3.49
Ca 0.0000 0.0000 0.0000  4 Ca 3.49, 4 Be 3.49
Ca 0.5000 0.7500 0.2500  4 Ba 3.49, 4 Ca 3.49
Ba 0.0000 0.5000 0.5000  4 Be 3.49, 4 Ca 3.49

Values from the calculation:
SG ... I-4m2 (119)
Fermi-level density of states ... 2.0 states/eV/f.u.
ΔH_f (0 K) ... 0.46 eV/atom
Total DFT energy (no corrections) ... -0.56404 hartree per atom

The following is a meta-GGA SCAN calculation of a crystal of GaSbC3 relaxed with PBEsol, from Alexandria via LeMat-Bulk.

abc: 4.0157 4.0157 4.0157
angles: 90.00 90.00 90.00
Last column: nearest neighbours and their distance in Å.
Positions (direct):
Sb 0.5000 0.5000 0.5000  12 C 2.84
C 0.0000 0.5000 0.0000  2 Ga 2.01
C 0.0000 0.0000 0.5000  2 Ga 2.01
C 0.5000 0.0000 0.0000  2 Ga 2.01
Ga 0.0000 0.0000 0.0000  6 C 2.01

Values from the calculation:
SG ... Pm-3m (221)
Raw formation energy ... 13.38 eV per formula unit
Fermi-level density of states ... 3.1 states/eV/f.u.
Total DFT energy (no corrections) ... -0.51838 hartree per atom

The following is a meta-GGA SCAN calculation of a crystal of YSiPd2 relaxed with PBEsol, from Alexandria via LeMat-Bulk.

abc: 5.4531 6.9022 7.2525
angles: 90.00 90.00 90.00
Last column: nearest neighbours and their distance in Å.
Positions (direct):
Y 0.8607 0.7500 0.9715  3 Si 2.93-2.96, 8 Pd 2.95-3.16
Y 0.6393 0.7500 0.4715  3 Si 2.93-2.96, 8 Pd 2.95-3.16
Y 0.3607 0.2500 0.5285  3 Si 2.93-2.96, 8 Pd 2.95-3.16
Y 0.1393 0.2500 0.0285  3 Si 2.93-2.96, 8 Pd 2.95-3.16
Si 0.6407 0.2500 0.8785  6 Pd 2.47-2.57
Si 0.3593 0.7500 0.1215  6 Pd 2.47-2.57
Si 0.1407 0.7500 0.6215  6 Pd 2.47-2.57
Si 0.8593 0.2500 0.3785  6 Pd 2.47-2.57
Pd 0.9057 0.4475 0.6771  3 Si 2.47-2.57, 1 Pd 2.73
Pd 0.9057 0.0525 0.6771  3 Si 2.47-2.57, 1 Pd 2.73
Pd 0.5943 0.4475 0.1771  3 Si 2.47-2.57, 1 Pd 2.73
Pd 0.0943 0.5525 0.3229  3 Si 2.47-2.57, 1 Pd 2.73
Pd 0.4057 0.5525 0.8229  3 Si 2.47-2.57, 1 Pd 2.73
Pd 0.0943 0.9475 0.3229  3 Si 2.47-2.57, 1 Pd 2.73
Pd 0.5943 0.0525 0.1771  3 Si 2.47-2.57, 1 Pd 2.73
Pd 0.4057 0.9475 0.8229  3 Si 2.47-2.57, 1 Pd 2.73

Values from the calculation:
SG ... Pnma (62)
Raw formation energy ... -4.30 eV per formula unit
Fermi-level density of states ... 1.4 states/eV/f.u.
Total DFT energy (no corrections) ... -0.98958 hartree per atom

The following is a meta-GGA SCAN calculation of a crystal of Li3Mn4O8 relaxed with PBEsol, from Alexandria via LeMat-Bulk.

abc: 5.5761 5.6157 5.7592
angles: 70.13 61.05 60.23
Last column: nearest neighbours and their distance in Å.
Positions (direct):
Li 0.2307 0.0000 0.0000  6 O 2.01-2.15
Li 0.7693 0.0000 0.0000  6 O 2.01-2.15
Li 0.0000 0.5000 0.5000  2 O 1.93
Mn 0.5000 0.5000 0.0000  6 O 1.90-1.99
Mn 0.0000 0.5000 0.0000  6 O 1.90-1.99
Mn 0.2951 0.9451 0.4646  5 O 1.91-2.08
Mn 0.7049 0.0549 0.5354  5 O 1.91-2.08
O 0.4292 0.2938 0.8477  3 Mn 1.94-2.08, 2 Li 2.15
O 0.9215 0.2994 0.8576  2 Mn 1.90, 3 Li 1.93-2.01
O 0.4770 0.2110 0.3178  3 Mn 1.91-1.99, 1 Li 2.02
O 0.9943 0.2110 0.3178  3 Mn 1.91-1.99, 1 Li 2.02
O 0.5708 0.7062 0.1523  3 Mn 1.94-2.08, 2 Li 2.15
O 0.0785 0.7006 0.1424  2 Mn 1.90, 3 Li 1.93-2.01
O 0.5230 0.7890 0.6822  3 Mn 1.91-1.99, 1 Li 2.02
O 0.0057 0.7890 0.6822  3 Mn 1.91-1.99, 1 Li 2.02

Values from the calculation:
SG ... C2/m (12)
Raw formation energy ... -32.93 eV per formula unit
Fermi-level density of states ... 1.5 states/eV/f.u.
Polymorph energy (0 for the lowest one) ... 0.005 eV/atom
Total DFT energy (no corrections) ... -0.39926 hartree per atom

The following is a meta-GGA SCAN calculation of a crystal of TaVCo relaxed with PBEsol, from Alexandria via LeMat-Bulk.

abc: 4.7942 4.7942 7.9633
angles: 90.00 90.00 118.97
Last column: nearest neighbours and their distance in Å.
Positions (direct):
Ta 0.6719 0.3281 0.1836  7 Co 2.71-2.91, 5 V 2.84-2.88, 4 Ta 2.91-2.96
Ta 0.3399 0.6601 0.3047  5 Co 2.75-2.84, 7 V 2.85-2.89, 3 Ta 2.91-2.96
Ta 0.3399 0.6601 0.6953  5 Co 2.75-2.84, 7 V 2.85-2.89, 3 Ta 2.91-2.96
Ta 0.6719 0.3281 0.8164  7 Co 2.71-2.91, 5 V 2.84-2.88, 4 Ta 2.91-2.96
V 0.1576 0.8424 0.0000  6 Co 2.33-2.43
V 0.8367 0.6599 0.5000  4 V 2.35-2.45, 2 Co 2.49
V 0.3401 0.1633 0.5000  4 V 2.35-2.45, 2 Co 2.49
V 0.8321 0.1679 0.5000  4 V 2.35-2.45, 2 Co 2.47
Co 0.0010 0.9990 0.2436  4 V 2.33-2.49, 2 Co 2.44
Co 0.0010 0.9990 0.7564  4 V 2.33-2.49, 2 Co 2.44
Co 0.1594 0.3512 0.0000  2 V 2.36-2.43, 4 Co 2.38-2.49
Co 0.6488 0.8406 0.0000  2 V 2.36-2.43, 4 Co 2.38-2.49

Values from the calculation:
SG ... Amm2 (38)
Fermi-level density of states ... 3.3 states/eV/f.u.
ΔH_f (0 K) ... -0.15 eV/atom
Total DFT energy (no corrections) ... -1.24752 hartree per atom

The following is a meta-GGA SCAN calculation of a crystal of K2PbS2O8 relaxed with PBEsol, from Alexandria via LeMat-Bulk.

abc: 5.4810 5.4810 7.6147
angles: 68.91 68.91 60.00
Last column: nearest neighbours and their distance in Å.
Positions (direct):
K 0.7978 0.7978 0.6066  10 O 2.67-2.87
K 0.2022 0.2022 0.3934  10 O 2.67-2.87
Pb 0.0000 0.0000 0.0000  6 O 2.61
S 0.5984 0.5984 0.2049  4 O 1.48-1.50
S 0.4016 0.4016 0.7951  4 O 1.48-1.50
O 0.2776 0.7218 0.2788  1 S 1.50
O 0.7218 0.7218 0.2788  1 S 1.50
O 0.7218 0.2776 0.2788  1 S 1.50
O 0.2782 0.7224 0.7212  1 S 1.50
O 0.7224 0.2782 0.7212  1 S 1.50
O 0.3305 0.3305 0.0084  1 S 1.48
O 0.6695 0.6695 0.9916  1 S 1.48
O 0.2782 0.2782 0.7212  1 S 1.50

Values from the calculation:
SG ... R-3m (166)
Raw formation energy ... -24.96 eV per formula unit
Fermi-level density of states ... 0.0 states/eV/f.u.
Total DFT energy (no corrections) ... -0.52722 hartree per atom

The following is a meta-GGA SCAN calculation of a crystal of MgSc2Re relaxed with PBEsol, from Alexandria via LeMat-Bulk.

abc: 2.8315 4.5305 5.8382
angles: 90.00 90.00 90.00
Last column: nearest neighbours and their distance in Å.
Positions (direct):
Mg 0.0000 0.0000 0.5088  1 Sc 2.71, 2 Mg 2.83
Re 0.5000 0.5000 0.7661  2 Re 2.83, 6 Sc 2.83-3.00, 4 Mg 3.06
Sc 0.0000 0.0000 0.9736  1 Mg 2.71, 2 Sc 2.83, 4 Re 2.93
Sc 0.5000 0.5000 0.2514  6 Sc 2.83-3.13, 2 Re 2.83-3.00, 4 Mg 3.06

Values from the calculation:
SG ... Pmm2 (25)
Fermi-level density of states ... 3.3 states/eV/f.u.
ΔH_f (0 K) ... 0.15 eV/atom
Total DFT energy (no corrections) ... -0.95488 hartree per atom

The following is a meta-GGA SCAN calculation of a crystal of Tl2AgCl2 relaxed with PBEsol, from Alexandria via LeMat-Bulk.

abc: 4.6352 4.6352 7.6400
angles: 107.66 107.66 90.00
Last column: nearest neighbours and their distance in Å.
Positions (direct):
Tl 0.3757 0.3757 0.7515  4 Cl 2.90
Tl 0.6243 0.6243 0.2485  4 Cl 2.90
Ag 0.0000 0.0000 0.0000  8 Tl 3.70
Cl 0.2500 0.7500 0.5000  4 Tl 2.90
Cl 0.7500 0.2500 0.5000  4 Tl 2.90

Values from the calculation:
SG ... I4/mmm (139)
Raw formation energy ... -1.42 eV per formula unit
Fermi-level density of states ... 2.2 states/eV/f.u.
Total DFT energy (no corrections) ... -1.42193 hartree per atom

The following is a meta-GGA SCAN calculation of a crystal of CaBeSiGe2 relaxed with PBEsol, from Alexandria via LeMat-Bulk.

abc: 4.6973 4.6973 5.3968
angles: 90.00 90.00 90.00
Last column: nearest neighbours and their distance in Å.
Positions (direct):
Be 0.5000 0.5000 0.5000  4 Ca 3.32, 8 Ge 3.58
Ge 0.0000 0.5000 0.0000  2 Si 2.35
Ge 0.5000 0.0000 0.0000  2 Si 2.35
Si 0.0000 0.0000 0.0000  4 Ge 2.35
Ca 0.0000 0.0000 0.5000  2 Si 2.70

Values from the calculation:
SG ... P4/mmm (123)
Raw formation energy ... 3.90 eV per formula unit
Fermi-level density of states ... 2.2 states/eV/f.u.
Total DFT energy (no corrections) ... -0.42858 hartree per atom

Among the records above, which one has the highest total DFT energy (no corrections)?
Li3Mn4O8